# SrAcSnPt

An optimized crystal structure of SrAcSnPt (GGA-PBE, Alexandria via LeMat-Bulk).

It has space group F-43m (No. 216), with a = 7.8181 Å, b = 7.8181 Å, c = 7.8181 Å, α = 90.00°, β = 90.00° and γ = 90.00°. The asymmetric unit holds Sr at (0.0000, 0.0000, 0.0000), Ac at (0.0000, 0.0000, 0.5000), Sn at (0.2500, 0.2500, 0.7500) and Pt at (0.2500, 0.2500, 0.2500).

The value obtained for the energy is -4.630 eV/atom. The calculation puts the formation energy from the elements at -64.8 kJ per mole of atoms.